[1]
Entry from Alexandria via LeMat-Bulk: crystalline MgAg2AsN at its relaxed geometry (PBE).

Geometry as POSCAR:
```
MgAg2AsN
1.0
4.5239 0.0000 0.0000
0.0000 4.5239 0.0000
0.0000 0.0000 4.0748
Mg Ag As N
1 2 1 1
Cartesian
0.0000 0.0000 0.0000 Mg
0.0000 2.2620 2.0374 Ag
2.2620 0.0000 2.0374 Ag
2.2620 2.2620 0.0000 As
0.0000 0.0000 2.0374 N
```

Space group: P4/mmm
E: -3.821 eV per atom
Raw formation energy: 0.234 eV/atom
Total moment: 0.000 μB/cell

=====

[2]
Entry from Alexandria via LeMat-Bulk: crystalline Na3As2Pt2 at its relaxed geometry (PBE).

Geometry as POSCAR:
```
Na3As2Pt2
1.0
5.7785 0.0000 0.0000
0.0000 7.9151 0.0000
0.0000 0.0000 13.0771
Na As Pt
12 8 8
Cartesian
0.7268 0.9579 1.3714 Na
0.7268 0.9579 5.1672 Na
0.7268 2.9996 7.9099 Na
0.7268 2.9996 11.7057 Na
2.0023 5.7592 9.8078 Na
2.0023 6.1135 3.2693 Na
3.7762 1.8016 9.8078 Na
3.7762 2.1559 3.2693 Na
5.0517 4.9155 1.3714 Na
5.0517 4.9155 5.1672 Na
5.0517 6.9572 7.9099 Na
5.0517 6.9572 11.7057 Na
0.9340 0.6114 9.8078 As
0.9340 3.3462 3.2693 As
2.2251 5.9363 0.0000 As
2.2251 5.9363 6.5385 As
3.5534 1.9788 0.0000 As
3.5534 1.9788 6.5385 As
4.8445 4.5689 9.8078 As
4.8445 7.3037 3.2693 As
2.2010 0.2830 7.7353 Pt
2.2010 0.2830 11.8803 Pt
2.2010 3.6745 1.1967 Pt
2.2010 3.6745 5.3418 Pt
3.5776 4.2406 7.7353 Pt
3.5776 4.2406 11.8803 Pt
3.5776 7.6321 1.1967 Pt
3.5776 7.6321 5.3418 Pt
```

Space group: Pbcm
E: -4.175 eV per atom
Formation energy: -0.55 eV/atom
Total moment: 0.000 μB/cell

=====

[3]
Entry from Alexandria via LeMat-Bulk: crystalline DyY2Co at its relaxed geometry (PBE).

Geometry as POSCAR:
```
DyY2Co
1.0
1.7920 1.0346 10.3500
-1.7920 1.0346 10.3500
0.0000 -2.0693 10.3500
Dy Y Co
1 2 1
Cartesian
0.0000 0.0000 0.0000 Dy
0.0000 0.0000 3.5114 Y
0.0000 0.0000 27.5385 Y
0.0000 0.0000 15.5249 Co
```

Space group: R-3m
E: -5.961 eV per atom
Formation energy: 0.20 eV/atom
Total moment: 0.022 μB/cell
Offset from the most stable computed form: 350.9 meV per atom

=====

[4]
Entry from Alexandria via LeMat-Bulk: crystalline CrCo3 at its relaxed geometry (PBE).

Geometry as POSCAR:
```
CrCo3
1.0
4.0128 2.3168 0.8003
-4.0128 2.3168 0.8003
0.0000 -4.6336 0.8003
Cr Co
1 3
Cartesian
0.0000 0.0000 0.0000 Cr
-2.0064 -1.1584 0.8003 Co
-2.0064 1.1584 1.6006 Co
0.0000 2.3168 0.8003 Co
```

Space group: R-3m
E: -7.537 eV per atom
Formation energy: 0.20 eV/atom
Total moment: 5.258 μB/cell
Offset from the most stable computed form: 203.5 meV per atom

=====

What is the E in the third record? -5.961 eV per atom

=====

Which value of total moment does entry 3 give? 0.022 μB/cell

=====

total moment of number 1 (MgAg2AsN)? 0.000 μB/cell